Density functional theory data (PBE-GGA) for a relaxed Tb6Er8Sn crystal.

Calculated values
Its volume is 481.4 Å³/cell. The magnetic moment is 0.0 Bohr magnetons per cell. Its space group is P-3, No. 147. The value obtained for the density of states at the Fermi level is 21.64 states/eV/cell. The formation energy is 3.9 kcal/mol of atoms.

a b c (Å): 6.709 9.102 9.102
angles (deg): 120.00 90.00 90.00
Element x y z (fractional)
Er (0.808, 0.333, 0.667)
Tb (0.606, 0.391, 0.317)
Er (0.888, 0.688, 0.672)
Er (0.888, 0.984, 0.312)
Tb (0.606, 0.926, 0.609)
Er (0.192, 0.667, 0.333)
Tb (0.394, 0.317, 0.926)
Tb (0.394, 0.074, 0.391)
Tb (0.394, 0.609, 0.683)
Sn (0.500, 0.000, 0.000)
Tb (0.606, 0.683, 0.074)
Er (0.888, 0.328, 0.016)
Er (0.112, 0.312, 0.328)
Er (0.112, 0.672, 0.984)
Er (0.112, 0.016, 0.688)

Density functional theory data (PBE-GGA) for a relaxed InF crystal.

Calculated values
Its volume is 179.5 Å³/cell. The magnetic moment is 0.0 Bohr magnetons per cell. Its space group is Pnma, No. 62. Its raw formation energy is -1660.9 meV per atom.

a b c (Å): 9.112 5.095 3.866
angles (deg): 90.00 90.00 90.00
Element x y z (fractional)
In (0.149, 0.227, 0.750)
In (0.649, 0.273, 0.250)
F (0.361, 0.489, 0.750)
In (0.351, 0.773, 0.250)
F (0.639, 0.989, 0.750)
In (0.851, 0.727, 0.750)
F (0.861, 0.011, 0.250)
F (0.139, 0.511, 0.250)

Density functional theory data (PBE-GGA) for a relaxed NbSb2IBr crystal.

Calculated values
Its volume is 159.9 Å³/cell. The magnetic moment is 0.0 Bohr magnetons per cell. Its space group is P4/mmm, No. 123. The excess energy over the best structure of this formula in the dataset comes out at 0 meV/atom. The value obtained for the density of states at the Fermi level is 4.69 states/eV/cell. Its raw formation energy is 160.4 meV per atom.

a b c (Å): 5.414 5.414 5.457
angles (deg): 90.00 90.00 90.00
Element x y z (fractional)
I (0.000, 0.000, 0.500)
Sb (0.500, 0.000, 0.000)
Br (0.500, 0.500, 0.500)
Sb (0.000, 0.500, 0.000)
Nb (0.000, 0.000, 0.000)

Density functional theory data (PBE-GGA) for a relaxed Be2CoAu crystal.

Calculated values
Its volume is 46.6 Å³/cell. The magnetic moment is 0.8 Bohr magnetons per cell. Its space group is F-43m, No. 216. The value obtained for the density of states at the Fermi level is 2.73 states/eV/cell. The formation energy is 3.2 kcal/mol of atoms.

a b c (Å): 4.040 4.040 4.040
angles (deg): 60.00 60.00 60.00
Each line ends with the local moment (μB).
Element x y z (fractional)
Co (0.750, 0.750, 0.750)  0.83
Be (0.250, 0.250, 0.250)  0.00
Be (0.000, 0.000, 0.000)  -0.02
Au (0.500, 0.500, 0.500)  0.02

Density functional theory data (PBE-GGA) for a relaxed NdLuIr2 crystal.

Calculated values
Its volume is 81.9 Å³/cell. The magnetic moment is 0.0 Bohr magnetons per cell. Its space group is P4/mmm, No. 123. The excess energy over the best structure of this formula in the dataset comes out at 0 meV/atom. The value obtained for the density of states at the Fermi level is 1.35 states/eV/cell. The formation energy is -16.8 kcal/mol of atoms.

a b c (Å): 3.356 3.356 7.273
angles (deg): 90.00 90.00 90.00
Element x y z (fractional)
Nd (0.500, 0.500, 0.500)
Ir (0.000, 0.000, 0.230)
Lu (0.500, 0.500, 0.000)
Ir (0.000, 0.000, 0.770)

Density functional theory data (PBE-GGA) for a relaxed CeNd3Er2S6 crystal.

Calculated values
Its volume is 270.2 Å³/cell. The magnetic moment is 0.6 Bohr magnetons per cell. Its space group is C2/m, No. 12. The value obtained for the density of states at the Fermi level is 8.55 states/eV/cell. Its raw formation energy is -2011.0 meV per atom.

a b c (Å): 6.901 6.901 6.955
angles (deg): 99.56 99.56 120.11
Each line ends with the local moment (μB).
Element x y z (fractional)
S (0.079, 0.420, 0.236)  0.00
Nd (0.835, 0.165, 0.500)  0.00
Nd (0.500, 0.500, 0.500)  0.00
Er (0.333, 0.667, 0.000)  0.01
Ce (0.000, 0.000, 0.000)  0.48
S (0.580, 0.921, 0.764)  0.00
S (0.921, 0.580, 0.764)  0.00
S (0.737, 0.737, 0.234)  0.00
S (0.420, 0.079, 0.236)  0.00
Nd (0.165, 0.835, 0.500)  0.00
Er (0.667, 0.333, 0.000)  0.01
S (0.263, 0.263, 0.766)  0.00

Density functional theory data (PBE-GGA) for a relaxed Rb2ReNiI6 crystal.

Calculated values
Its volume is 360.8 Å³/cell. The magnetic moment is 3.0 Bohr magnetons per cell. Its space group is I4/mmm, No. 139. The value obtained for the density of states at the Fermi level is 1.79 states/eV/cell. Its raw formation energy is -351.7 meV per atom.

a b c (Å): 7.988 7.988 7.992
angles (deg): 60.01 60.01 90.00
Each line ends with the local moment (μB).
Element x y z (fractional)
I (0.749, 0.251, 0.000)  0.03
Rb (0.250, 0.750, 0.500)  0.00
Rb (0.750, 0.250, 0.500)  0.00
I (0.750, 0.750, 0.500)  0.03
I (0.250, 0.250, 0.500)  0.03
Ni (0.500, 0.500, 0.000)  -0.39
I (0.251, 0.251, 0.000)  0.03
I (0.251, 0.749, 0.000)  0.03
I (0.749, 0.749, 0.000)  0.03
Re (0.000, 0.000, 0.000)  2.59

Density functional theory data (PBE-GGA) for a relaxed KNiBr2 crystal.

Calculated values
Its volume is 115.6 Å³/cell. The magnetic moment is 1.0 Bohr magnetons per cell. Its space group is P2/m, No. 10. The excess energy over the best structure of this formula in the dataset comes out at 44 meV/atom. The value obtained for the density of states at the Fermi level is 1.10 states/eV/cell. Its raw formation energy is -724.4 meV per atom.

a b c (Å): 3.707 4.400 7.094
angles (deg): 87.65 90.00 90.00
Each line ends with the local moment (μB).
Element x y z (fractional)
Br (0.000, 0.767, 0.984)  0.06
K (0.500, 0.250, 0.250)  0.00
Ni (0.500, 0.750, 0.750)  0.85
Br (0.000, 0.733, 0.516)  0.06